1.
The following is a DFT calculation (GGA-PBEsol) of a geometry-optimized Rb3MnSi structure.

Calculated values
Total DFT energy (no corrections) (eV/atom): -2.435
ΔE_f (raw) (eV per formula unit): 6.4

a b c (Å): 6.4493 6.4493 6.4493
angles (deg): 90.00 90.00 90.00
Last column: nearest neighbours and their distance in Å.
Element x y z (fractional)
Rb 0.0000 0.0000 0.5000  2 Mn 3.22
Rb 0.0000 0.5000 0.0000  2 Mn 3.22
Mn 0.0000 0.0000 0.0000  6 Rb 3.22
Si 0.5000 0.5000 0.5000  12 Rb 4.56
Rb 0.5000 0.0000 0.0000  2 Mn 3.22



2.
The following is a DFT calculation (GGA-PBEsol) of a geometry-optimized Rb3MnSn structure.

Calculated values
Energy of formation (eV/atom): 0.953
Total DFT energy (no corrections) (eV/atom): -2.467

a b c (Å): 6.4873 6.4873 6.4873
angles (deg): 90.00 90.00 90.00
Last column: nearest neighbours and their distance in Å.
Element x y z (fractional)
Rb 0.5000 0.0000 0.0000  2 Mn 3.24
Sn 0.5000 0.5000 0.5000  12 Rb 4.59
Rb 0.0000 0.0000 0.5000  2 Mn 3.24
Mn 0.0000 0.0000 0.0000  6 Rb 3.24
Rb 0.0000 0.5000 0.0000  2 Mn 3.24